(1)
Computed, not measured: an optimized crystal structure of ZnRe4Br at the PBE level of DFT.

ΔE_f (raw)   1.1515 eV per atom
Calculated density   14.3 g cm⁻³

abc: 5.2719 5.2719 5.2719
angles: 60.00 60.00 60.00
With the nearest neighbours (Å) after each atom.
Atoms (fractional coordinates):
Zn: 0.0000 0.0000 0.0000  12 Re 3.09, 4 Br 3.23
Re: 0.3754 0.3754 0.3754  6 Re 2.63-2.65
Re: 0.3754 0.3754 0.8737  6 Re 2.63-2.65
Re: 0.3754 0.8737 0.3754  6 Re 2.63-2.65
Re: 0.8737 0.3754 0.3754  6 Re 2.63-2.65
Br: 0.7500 0.7500 0.7500  12 Re 3.09, 4 Zn 3.23



(2)
Computed, not measured: an optimized crystal structure of Ga2PbS4 at the PBE level of DFT.

ΔE_f (raw)   -0.6708 eV per atom
Calculated density   4.7 g cm⁻³

abc: 14.7599 12.2059 12.0206
angles: 75.07 53.04 51.90
With the nearest neighbours (Å) after each atom.
Atoms (fractional coordinates):
Ga: 0.0322 0.4675 0.8604  4 S 2.27-2.32
Ga: 0.1101 0.3889 0.3640  4 S 2.27-2.32
Ga: 0.1400 0.8604 0.4675  4 S 2.27-2.32
Ga: 0.1396 0.8600 0.9678  4 S 2.27-2.32
Ga: 0.3630 0.6360 0.6111  4 S 2.27-2.32
Ga: 0.3640 0.6370 0.1101  4 S 2.27-2.32
Ga: 0.3889 0.1101 0.6370  4 S 2.27-2.32
Ga: 0.4675 0.0322 0.1400  4 S 2.27-2.32
Ga: 0.5325 0.9678 0.8600  4 S 2.27-2.32
Ga: 0.6111 0.8899 0.3630  4 S 2.27-2.32
Ga: 0.6360 0.3630 0.8899  4 S 2.27-2.32
Ga: 0.6370 0.3640 0.3889  4 S 2.27-2.32
Ga: 0.8604 0.1400 0.0322  4 S 2.27-2.32
Ga: 0.8600 0.1396 0.5325  4 S 2.27-2.32
Ga: 0.8899 0.6111 0.6360  4 S 2.27-2.32
Ga: 0.9678 0.5325 0.1396  4 S 2.27-2.32
Pb: 0.1228 0.1228 0.6272  8 S 3.11-3.15
Pb: 0.1250 0.1250 0.1250  8 S 3.12-3.14
Pb: 0.3728 0.3728 0.8772  8 S 3.11-3.15
Pb: 0.3750 0.3750 0.3750  8 S 3.13-3.14
Pb: 0.6250 0.6250 0.6250  8 S 3.13-3.14
Pb: 0.6272 0.6272 0.1228  8 S 3.11-3.15
Pb: 0.8750 0.8750 0.8750  8 S 3.12-3.14
Pb: 0.8772 0.8772 0.3728  8 S 3.11-3.15
S: 0.0816 0.0835 0.4183  2 Ga 2.32
S: 0.0831 0.5815 0.4164  2 Ga 2.32
S: 0.0834 0.5817 0.9165  2 Ga 2.32
S: 0.0835 0.0816 0.9166  2 Ga 2.32
S: 0.1501 0.3482 0.1596  2 Ga 2.27-2.32
S: 0.1580 0.8404 0.6518  2 Ga 2.27-2.32
S: 0.1596 0.8420 0.1501  2 Ga 2.27-2.32
S: 0.1868 0.3113 0.6567  2 Ga 2.27-2.32
S: 0.3113 0.1868 0.3452  2 Ga 2.27-2.32
S: 0.3433 0.6548 0.8132  2 Ga 2.27-2.32
S: 0.3452 0.6567 0.3113  2 Ga 2.27-2.32
S: 0.3482 0.1501 0.8420  2 Ga 2.27-2.32
S: 0.4164 0.4190 0.0831  2 Ga 2.32
S: 0.4183 0.9166 0.0816  2 Ga 2.32
S: 0.4190 0.4164 0.5815  2 Ga 2.32
S: 0.4185 0.9169 0.5810  2 Ga 2.32
S: 0.5815 0.0831 0.4190  2 Ga 2.32
S: 0.5810 0.5836 0.4185  2 Ga 2.32
S: 0.5817 0.0834 0.9184  2 Ga 2.32
S: 0.5836 0.5810 0.9169  2 Ga 2.32
S: 0.6518 0.8499 0.1580  2 Ga 2.27-2.32
S: 0.6548 0.3433 0.6887  2 Ga 2.27-2.32
S: 0.6567 0.3452 0.1868  2 Ga 2.27-2.32
S: 0.6887 0.8132 0.6548  2 Ga 2.27-2.32
S: 0.8132 0.6887 0.3433  2 Ga 2.27-2.32
S: 0.8404 0.1580 0.8499  2 Ga 2.27-2.32
S: 0.8420 0.1596 0.3482  2 Ga 2.27-2.32
S: 0.8499 0.6518 0.8404  2 Ga 2.27-2.32
S: 0.9165 0.9184 0.0834  2 Ga 2.32
S: 0.9166 0.4183 0.0835  2 Ga 2.32
S: 0.9169 0.4185 0.5836  2 Ga 2.32
S: 0.9184 0.9165 0.5817  2 Ga 2.32



(3)
Computed, not measured: an optimized crystal structure of SrZnRe2 at the PBE level of DFT.

Formation energy from the elements   0.75 eV/atom
Calculated density   11.4 g cm⁻³

abc: 4.8243 4.8243 4.8243
angles: 126.35 116.69 87.60
With the nearest neighbours (Å) after each atom.
Atoms (fractional coordinates):
Sr: 0.0000 0.0000 0.0000  4 Zn 2.92-2.96, 4 Re 2.94-2.95
Zn: 0.2803 0.7803 0.5000  5 Re 2.78-3.08, 4 Sr 2.92-2.96
Re: 0.5281 0.5281 0.0000  2 Re 2.54, 2 Zn 2.78
Re: 0.7148 0.2148 0.5000  2 Re 2.54



(4)
Computed, not measured: an optimized crystal structure of ReSbTe2As at the PBE level of DFT.

ΔE_f (raw)   1.5596 eV per atom
Calculated density   6.9 g cm⁻³

abc: 5.4038 5.4038 5.2297
angles: 90.00 90.00 90.00
With the nearest neighbours (Å) after each atom.
Atoms (fractional coordinates):
Re: 0.0000 0.0000 0.0000  8 Te 3.76, 4 Sb 3.82
Sb: 0.5000 0.5000 0.0000  2 As 2.61
Te: 0.0000 0.5000 0.5000  2 As 2.70
Te: 0.5000 0.0000 0.5000  2 As 2.70
As: 0.5000 0.5000 0.5000  2 Sb 2.61, 4 Te 2.70



(5)
Computed, not measured: an optimized crystal structure of ScBi at the PBE level of DFT.

Formation energy from the elements   -0.15 eV/atom
Calculated density   4.5 g cm⁻³

abc: 8.2432 8.2432 8.2432
angles: 90.00 90.00 90.00
With the nearest neighbours (Å) after each atom.
Atoms (fractional coordinates):
Sc: 0.0000 0.2500 0.5000  4 Bi 2.91
Sc: 0.0000 0.7500 0.5000  4 Bi 2.91
Sc: 0.2500 0.5000 0.0000  4 Bi 2.91
Sc: 0.5000 0.0000 0.2500  4 Bi 2.91
Sc: 0.5000 0.0000 0.7500  4 Bi 2.91
Sc: 0.7500 0.5000 0.0000  4 Bi 2.91
Bi: 0.0000 0.5000 0.2500  4 Sc 2.91
Bi: 0.0000 0.5000 0.7500  4 Sc 2.91
Bi: 0.2500 0.0000 0.5000  4 Sc 2.91
Bi: 0.5000 0.2500 0.0000  4 Sc 2.91
Bi: 0.5000 0.7500 0.0000  4 Sc 2.91
Bi: 0.7500 0.0000 0.5000  4 Sc 2.91



(6)
Computed, not measured: an optimized crystal structure of LiNdSmAg at the PBE level of DFT.

Formation energy from the elements   -0.06 eV/atom
Calculated density   6.4 g cm⁻³

abc: 5.3064 5.3064 5.3064
angles: 60.00 60.00 60.00
With the nearest neighbours (Å) after each atom.
Atoms (fractional coordinates):
Li: 0.0000 0.0000 0.0000  4 Nd 3.25, 4 Sm 3.25
Nd: 0.7500 0.7500 0.7500  4 Li 3.25, 4 Ag 3.25
Sm: 0.2500 0.2500 0.2500  4 Li 3.25, 4 Ag 3.25
Ag: 0.5000 0.5000 0.5000  4 Nd 3.25, 4 Sm 3.25



(7)
Computed, not measured: an optimized crystal structure of CrNiBr2 at the PBE level of DFT.

ΔE_f (raw)   -0.0954 eV per atom
Calculated density   4.8 g cm⁻³

abc: 7.8135 7.8135 7.8135
angles: 28.07 28.07 28.07
With the nearest neighbours (Å) after each atom.
Atoms (fractional coordinates):
Cr: 0.0000 0.0000 0.0000  3 Ni 2.60, 3 Br 2.61
Ni: 0.2709 0.2709 0.2709  3 Br 2.38, 3 Cr 2.60
Br: 0.5626 0.5626 0.5626  3 Ni 2.38
Br: 0.7295 0.7295 0.7295  3 Cr 2.61



(8)
Computed, not measured: an optimized crystal structure of K2NbI5 at the PBE level of DFT.

ΔE_f (raw)   -0.8276 eV per atom
Calculated density   3.5 g cm⁻³

abc: 7.9129 7.9129 7.9129
angles: 112.53 112.53 103.52
With the nearest neighbours (Å) after each atom.
Atoms (fractional coordinates):
K: 0.0000 0.5000 0.5000  8 I 3.93-4.01
K: 0.5000 0.0000 0.5000  8 I 3.93-4.01
Nb: 0.2045 0.2045 0.0000  5 I 2.65-2.84
I: 0.0314 0.0314 0.5508  1 Nb 2.84
I: 0.0314 0.4807 0.0000  1 Nb 2.84
I: 0.4807 0.0314 0.0000  1 Nb 2.84
I: 0.4807 0.4807 0.4492  1 Nb 2.84
I: 0.9341 0.9341 0.0000  1 Nb 2.65



(9)
Computed, not measured: an optimized crystal structure of PaTeRhN at the PBE level of DFT.

ΔE_f (raw)   -0.9472 eV per atom
Calculated density   9.1 g cm⁻³

abc: 12.4699 12.4699 12.4699
angles: 18.70 18.70 18.70
With the nearest neighbours (Å) after each atom.
Atoms (fractional coordinates):
Pa: 0.1278 0.1278 0.1278  4 N 2.20-2.43
Pa: 0.8722 0.8722 0.8722  4 N 2.20-2.43
Te: 0.2822 0.2822 0.2822  3 Rh 2.54
Te: 0.7178 0.7178 0.7178  3 Rh 2.54
Rh: 0.4116 0.4116 0.4116  3 Te 2.54
Rh: 0.5884 0.5884 0.5884  3 Te 2.54
N: 0.1878 0.1878 0.1878  4 Pa 2.20-2.43
N: 0.8122 0.8122 0.8122  4 Pa 2.20-2.43



(10)
Computed, not measured: an optimized crystal structure of Na2AlC2O6 at the PBE level of DFT.

ΔE_f (raw)   -1.6178 eV per atom
Calculated density   2.6 g cm⁻³

abc: 4.8867 4.8867 5.9113
angles: 90.00 90.00 120.00
With the nearest neighbours (Å) after each atom.
Atoms (fractional coordinates):
Na: 0.3333 0.6667 0.3323  3 O 2.37
Na: 0.6667 0.3333 0.6677  3 O 2.37
Al: 0.0000 0.0000 0.0000  6 O 1.92
C: 0.3333 0.6667 0.8390  3 O 1.33
C: 0.6667 0.3333 0.1610  3 O 1.33
O: 0.1364 0.3608 0.8053  1 C 1.33
O: 0.2244 0.8636 0.8053  1 C 1.33
O: 0.3608 0.2244 0.1947  1 C 1.33
O: 0.6392 0.7756 0.8053  1 C 1.33
O: 0.7756 0.1364 0.1947  1 C 1.33
O: 0.8636 0.6392 0.1947  1 C 1.33



(11)
Computed, not measured: an optimized crystal structure of NaSc2I at the PBE level of DFT.

ΔE_f (raw)   0.2118 eV per atom
Calculated density   3.4 g cm⁻³

abc: 6.8426 6.8426 6.8426
angles: 102.70 102.70 124.09
With the nearest neighbours (Å) after each atom.
Atoms (fractional coordinates):
Na: 0.0000 0.0000 0.0000  2 I 3.21, 4 Sc 3.37
Na: 0.7500 0.2500 0.5000  2 I 3.21, 4 Sc 3.37
Sc: 0.1657 0.6250 0.0407  2 I 2.90
Sc: 0.3750 0.4157 0.5407  2 I 2.90
Sc: 0.5843 0.1250 0.9593  2 I 2.90
Sc: 0.8750 0.8343 0.4593  2 I 2.90
I: 0.2500 0.7500 0.5000  4 Sc 2.90, 2 Na 3.21
I: 0.5000 0.5000 0.0000  4 Sc 2.90, 2 Na 3.21



(12)
Computed, not measured: an optimized crystal structure of Sm2GePt3 at the PBE level of DFT.

Formation energy from the elements   -1.02 eV/atom
Calculated density   12.2 g cm⁻³

abc: 4.4059 4.4059 15.4755
angles: 90.00 90.00 120.00
With the nearest neighbours (Å) after each atom.
Atoms (fractional coordinates):
Sm: 0.0000 0.0000 0.1265  3 Ge 3.18, 9 Pt 3.18-3.21
Sm: 0.0000 0.0000 0.3735  3 Ge 3.18, 9 Pt 3.18-3.21
Sm: 0.0000 0.0000 0.6265  9 Pt 3.18-3.21, 3 Ge 3.18
Sm: 0.0000 0.0000 0.8735  3 Ge 3.18, 9 Pt 3.18-3.21
Ge: 0.3333 0.6667 0.2500  3 Pt 2.54
Ge: 0.6667 0.3333 0.7500  3 Pt 2.54
Pt: 0.3333 0.6667 0.0005  3 Pt 2.54
Pt: 0.3333 0.6667 0.4995  3 Pt 2.54
Pt: 0.3333 0.6667 0.7500  3 Ge 2.54
Pt: 0.6667 0.3333 0.9995  3 Pt 2.54
Pt: 0.6667 0.3333 0.2500  3 Ge 2.54
Pt: 0.6667 0.3333 0.5005  3 Pt 2.54



(13)
Computed, not measured: an optimized crystal structure of PaTlI4 at the PBE level of DFT.

ΔE_f (raw)   -0.7687 eV per atom
Calculated density   4.8 g cm⁻³

abc: 10.4878 10.4878 7.5020
angles: 101.80 101.80 120.42
With the nearest neighbours (Å) after each atom.
Atoms (fractional coordinates):
Pa: 0.0528 0.9472 0.7500  6 I 3.08-3.15
Pa: 0.9472 0.0528 0.2500  6 I 3.08-3.15
Tl: 0.2253 0.7747 0.2500  6 I 3.44-3.62
Tl: 0.7747 0.2253 0.7500  6 I 3.44-3.62
I: 0.0274 0.3731 0.2248  1 Pa 3.08, 1 Tl 3.44
I: 0.1269 0.2630 0.6990  2 Pa 3.12-3.15
I: 0.2630 0.1269 0.1990  2 Pa 3.12-3.15
I: 0.3731 0.0274 0.7248  1 Pa 3.08, 1 Tl 3.44
I: 0.6269 0.9726 0.2752  1 Pa 3.08, 1 Tl 3.44
I: 0.7370 0.8731 0.8010  2 Pa 3.12-3.15
I: 0.8731 0.7370 0.3010  2 Pa 3.12-3.15
I: 0.9726 0.6269 0.7752  1 Pa 3.08, 1 Tl 3.44



(14)
Computed, not measured: an optimized crystal structure of Pm2MgCd5 at the PBE level of DFT.

Formation energy from the elements   -0.20 eV/atom
Calculated density   7.0 g cm⁻³

abc: 9.1096 9.1096 10.1220
angles: 90.00 90.00 150.52
With the nearest neighbours (Å) after each atom.
Atoms (fractional coordinates):
Pm: 0.0000 0.0000 0.0000  6 Cd 3.35-3.63, 4 Mg 3.51
Pm: 0.0000 0.0000 0.5000  6 Cd 3.35-3.63, 4 Mg 3.51
Pm: 0.1901 0.8099 0.7500  11 Cd 3.35-3.56, 2 Mg 3.49
Pm: 0.8099 0.1901 0.2500  11 Cd 3.35-3.56, 2 Mg 3.49
Mg: 0.4579 0.5421 0.2500  3 Cd 2.74-2.77
Mg: 0.5421 0.4579 0.7500  3 Cd 2.74-2.77
Cd: 0.1977 0.8023 0.1016  6 Cd 2.89-3.13
Cd: 0.1977 0.8023 0.3984  6 Cd 2.89-3.13
Cd: 0.3638 0.6362 0.0304  1 Mg 2.77, 4 Cd 2.87-3.01
Cd: 0.3638 0.6362 0.4696  1 Mg 2.77, 4 Cd 2.87-3.01
Cd: 0.3863 0.6137 0.7500  1 Mg 2.74, 2 Cd 2.87
Cd: 0.6137 0.3863 0.2500  1 Mg 2.74, 2 Cd 2.87
Cd: 0.6362 0.3638 0.5304  1 Mg 2.77, 4 Cd 2.87-3.01
Cd: 0.6362 0.3638 0.9696  1 Mg 2.77, 4 Cd 2.87-3.01
Cd: 0.8023 0.1977 0.6016  6 Cd 2.89-3.13
Cd: 0.8023 0.1977 0.8984  6 Cd 2.89-3.13



(15)
Computed, not measured: an optimized crystal structure of ErHgIr4 at the PBE level of DFT.

Formation energy from the elements   -0.25 eV/atom
Calculated density   17.8 g cm⁻³

abc: 5.3098 5.3098 5.3098
angles: 60.00 60.00 60.00
With the nearest neighbours (Å) after each atom.
Atoms (fractional coordinates):
Er: 0.0000 0.0000 0.0000  12 Ir 3.11, 4 Hg 3.25
Hg: 0.7500 0.7500 0.7500  12 Ir 3.11, 4 Er 3.25
Ir: 0.3752 0.3752 0.3752  6 Ir 2.65-2.66
Ir: 0.3752 0.3752 0.8744  6 Ir 2.65-2.66
Ir: 0.3752 0.8744 0.3752  6 Ir 2.65-2.66
Ir: 0.8744 0.3752 0.3752  6 Ir 2.65-2.66



(16)
Computed, not measured: an optimized crystal structure of Dy5Sc4Cd at the PBE level of DFT.

Formation energy from the elements   -0.02 eV/atom
Calculated density   6.7 g cm⁻³

abc: 3.4827 3.4827 22.7288
angles: 90.00 90.00 90.00
With the nearest neighbours (Å) after each atom.
Atoms (fractional coordinates):
Dy: 0.0000 0.0000 0.0000  8 Sc 3.37, 4 Dy 3.48
Dy: 0.0000 0.0000 0.2022  8 Sc 3.37-3.38, 4 Dy 3.48
Dy: 0.0000 0.0000 0.4057  4 Cd 3.27, 4 Sc 3.38, 4 Dy 3.48
Dy: 0.0000 0.0000 0.5943  4 Cd 3.27, 4 Sc 3.38, 4 Dy 3.48
Dy: 0.0000 0.0000 0.7978  8 Sc 3.37-3.38, 4 Dy 3.48
Sc: 0.5000 0.5000 0.1013  8 Dy 3.37, 4 Sc 3.48
Sc: 0.5000 0.5000 0.3038  8 Dy 3.38, 4 Sc 3.48
Sc: 0.5000 0.5000 0.6962  8 Dy 3.38, 4 Sc 3.48
Sc: 0.5000 0.5000 0.8987  8 Dy 3.37, 4 Sc 3.48
Cd: 0.5000 0.5000 0.5000  8 Dy 3.27, 4 Cd 3.48



(17)
Computed, not measured: an optimized crystal structure of ScTc2Os at the PBE level of DFT.

Formation energy from the elements   -0.06 eV/atom
Calculated density   11.6 g cm⁻³

abc: 3.0906 4.4436 4.5062
angles: 90.00 90.00 90.00
With the nearest neighbours (Å) after each atom.
Atoms (fractional coordinates):
Sc: 0.0000 0.0000 0.0000  4 Os 2.71, 4 Tc 2.73
Tc: 0.0000 0.5000 0.5000  4 Tc 2.71, 4 Os 2.73
Tc: 0.5000 0.0000 0.5000  4 Tc 2.71, 4 Sc 2.73
Os: 0.5000 0.5000 0.0000  4 Sc 2.71, 4 Tc 2.73



(18)
Computed, not measured: an optimized crystal structure of RbTl3Pd3 at the PBE level of DFT.

Formation energy from the elements   -0.13 eV/atom
Calculated density   7.9 g cm⁻³

abc: 9.7722 9.7722 9.7722
angles: 45.16 45.16 45.16
With the nearest neighbours (Å) after each atom.
Atoms (fractional coordinates):
Rb: 0.1595 0.1595 0.1595  3 Pd 3.47, 3 Tl 3.81
Rb: 0.8405 0.8405 0.8405  3 Pd 3.47, 3 Tl 3.81
Tl: 0.0725 0.6309 0.4739  3 Pd 2.72-2.78
Tl: 0.3691 0.5261 0.9275  3 Pd 2.72-2.78
Tl: 0.4739 0.0725 0.6309  3 Pd 2.72-2.78
Tl: 0.5261 0.9275 0.3691  3 Pd 2.72-2.78
Tl: 0.6309 0.4739 0.0725  3 Pd 2.72-2.78
Tl: 0.9275 0.3691 0.5261  3 Pd 2.72-2.78
Pd: 0.0373 0.2667 0.8258  3 Tl 2.72-2.78, 4 Pd 2.81-2.87
Pd: 0.1742 0.9627 0.7333  3 Tl 2.72-2.78, 4 Pd 2.81-2.87
Pd: 0.2667 0.8258 0.0373  3 Tl 2.72-2.78, 4 Pd 2.81-2.87
Pd: 0.7333 0.1742 0.9627  3 Tl 2.72-2.78, 4 Pd 2.81-2.87
Pd: 0.8258 0.0373 0.2667  3 Tl 2.72-2.78, 4 Pd 2.81-2.87
Pd: 0.9627 0.7333 0.1742  3 Tl 2.72-2.78, 4 Pd 2.81-2.87



(19)
Computed, not measured: an optimized crystal structure of SrOs2Pt at the PBE level of DFT.

Formation energy from the elements   0.64 eV/atom
Calculated density   14.4 g cm⁻³

abc: 2.7286 4.2599 6.5956
angles: 90.00 90.00 90.00
With the nearest neighbours (Å) after each atom.
Atoms (fractional coordinates):
Sr: 0.0000 0.0000 0.0000  2 Sr 2.73
Os: 0.5000 0.5000 0.3166  1 Os 2.42
Os: 0.5000 0.5000 0.6834  1 Os 2.42
Pt: 0.0000 0.0000 0.5000  2 Pt 2.73, 8 Os 2.80



(20)
Computed, not measured: an optimized crystal structure of Sm2Tm2S3 at the PBE level of DFT.

ΔE_f (raw)   -1.6888 eV per atom
Calculated density   7.3 g cm⁻³

abc: 6.7938 6.7938 6.6957
angles: 101.86 101.86 33.36
With the nearest neighbours (Å) after each atom.
Atoms (fractional coordinates):
Sm: 0.1230 0.1230 0.3603  5 S 2.79-2.82
Sm: 0.8770 0.8770 0.6397  5 S 2.79-2.82
Tm: 0.3730 0.3730 0.1288  4 S 2.67-2.69
Tm: 0.6270 0.6270 0.8712  4 S 2.67-2.69
S: 0.2447 0.2447 0.7573  3 Tm 2.68-2.69, 3 Sm 2.79-2.82
S: 0.5000 0.5000 0.5000  2 Tm 2.67, 4 Sm 2.81
S: 0.7553 0.7553 0.2427  3 Tm 2.68-2.69, 3 Sm 2.79-2.82